Crystalline CsK8Hg2O at its relaxed geometry, computed with GGA-PBE.

Calculated values
Total DFT energy (no corrections) (eV for the cell shown): -19.30
SG: P-1
Formation energy from raw total energies (eV per atom): -0.342

Cell: 7.796 9.022 10.003 Å, 99.79 90.20 115.37°
Fractional positions:
Cs (0.000, 0.000, 0.000)
K (0.148, 0.771, 0.516)
K (0.261, 0.524, 0.871)
K (0.384, 0.232, 0.476)
K (0.456, 0.900, 0.235)
K (0.544, 0.100, 0.765)
K (0.616, 0.768, 0.524)
K (0.739, 0.476, 0.129)
K (0.852, 0.229, 0.484)
Hg (0.217, 0.442, 0.237)
Hg (0.783, 0.558, 0.763)
O (0.500, 0.000, 0.500)